The following is a GGA-PBE calculation of a relaxed CaTa2Ni crystal, from the Alexandria database.

It has space group P4mm (No. 99), with a = 3.0989 Å, b = 3.0989 Å, c = 8.1728 Å, α = 90.00°, β = 90.00° and γ = 90.00°. The asymmetric unit holds Ca at (0.0000, 0.0000, 0.0000), Ta at (0.0000, 0.0000, 0.4254), Ta at (0.5000, 0.5000, 0.6661) and Ni at (0.5000, 0.5000, 0.2678).

The value obtained for the energy of formation from the pure elements is 206 meV/atom. The calculation puts the distance to the lowest polymorph of the same formula at 0.000 eV per atom. The raw total energy is -0.28172 Ha/atom.